PdSeI: relaxed, PBE-GGA.

The structure in extended XYZ format:
```
3
Lattice="3.947 0.000 0.000 -1.973 3.418 0.000 0.000 0.000 5.440" Properties=species:S:1:pos:R:3 pbc="T T T"
Pd 0.000 0.000 0.000
Se 1.973 1.139 1.233
I 0.000 2.279 3.803
```

Calculated values
E   -10.61 eV for the cell shown
Magnetic moment   0.0 μB per cell
Symmetry   P3m1, No. 156
Density of states at the Fermi level   1.80 states/eV per cell
Formation energy without anion corrections   -129 meV per atom